An optimized crystal structure of SbOsPt2. Source: Alexandria via LeMat-Bulk, functional GGA-PBE. Values from VASP.

Values from the calculation:
Formation energy (no corrections): 0.32 eV/atom
Magnetization: 0.00 μB/cell
Fermi-level density of states: 0.738 states/eV per atom
E_tot: -6.54 eV per atom
Space-group type: No. 71
V: 16.8 A^3/atom

The structure in Quantum ESPRESSO input format:
```
&SYSTEM
  ibrav = 0, nat = 8, ntyp = 3
/
ATOMIC_SPECIES
Sb 121.76 Sb.upf
Os 190.23 Os.upf
Pt 195.08 Pt.upf
ATOMIC_POSITIONS angstrom
Sb 0.000 0.000 0.000
Sb 1.471 2.363 4.833
Os 0.000 0.000 4.833
Os 1.471 2.363 0.000
Pt 0.000 2.363 2.408
Pt 0.000 2.363 7.259
Pt 1.471 0.000 2.426
Pt 1.471 0.000 7.241
CELL_PARAMETERS angstrom
2.942 0.000 0.000
0.000 4.725 0.000
0.000 0.000 9.667
```

=====

An optimized crystal structure of BaScW2. Source: Alexandria via LeMat-Bulk, functional GGA-PBE. Values from VASP.

Values from the calculation:
Magnetization: 0.00 μB/cell
Fermi-level density of states: 1.248 states/eV per atom
E_tot: -7.30 eV per atom
Space-group type: No. 65
V: 21.6 A^3/atom

The structure in Quantum ESPRESSO input format:
```
&SYSTEM
  ibrav = 0, nat = 8, ntyp = 3
/
ATOMIC_SPECIES
Ba 137.33 Ba.upf
Sc 44.96 Sc.upf
W 183.84 W.upf
ATOMIC_POSITIONS angstrom
Ba 0.000 0.000 0.000
Ba 2.852 5.247 0.000
Sc 0.000 5.247 0.000
Sc 2.852 0.000 0.000
W 1.426 2.624 1.446
W 1.426 7.871 1.446
W 4.278 2.624 1.446
W 4.278 7.871 1.446
CELL_PARAMETERS angstrom
5.704 0.000 0.000
0.000 10.495 0.000
0.000 0.000 2.893
```

=====

An optimized crystal structure of Cs3PmPu2Se6. Source: Alexandria via LeMat-Bulk, functional GGA-PBE. Values from VASP.

Values from the calculation:
Formation energy (no corrections): -1.53 eV/atom
Magnetization: 10.00 μB/cell
Fermi-level density of states: 1.982 states/eV per atom
E_tot: -6.27 eV per atom
Space-group type: No. 12
V: 34.3 A^3/atom

The structure in Quantum ESPRESSO input format:
```
&SYSTEM
  ibrav = 0, nat = 12, ntyp = 4
/
ATOMIC_SPECIES
Cs 132.91 Cs.upf
Pm 145.00 Pm.upf
Pu 244.00 Pu.upf
Se 78.96 Se.upf
ATOMIC_POSITIONS angstrom
Cs 0.000 0.000 0.000
Cs 3.770 2.161 0.000
Cs 3.770 -2.161 0.000
Pm 2.514 0.000 4.181
Pu 2.514 4.352 4.181
Pu 2.514 -4.352 4.181
Se 1.242 2.202 2.622
Se -0.030 0.000 5.736
Se 1.242 -2.202 2.622
Se 3.785 2.202 5.740
Se 5.057 0.000 2.627
Se 3.785 -2.202 5.740
CELL_PARAMETERS angstrom
3.770 -6.530 0.000
3.770 6.530 0.000
-2.513 0.000 8.363
```

=====

An optimized crystal structure of CuHg2Mo. Source: Alexandria via LeMat-Bulk, functional GGA-PBE. Values from VASP.

Values from the calculation:
Magnetization: 6.74 μB/cell
Fermi-level density of states: 0.506 states/eV per atom
E_tot: -3.00 eV per atom
Space-group type: No. 122
V: 19.8 A^3/atom

The structure in Quantum ESPRESSO input format:
```
&SYSTEM
  ibrav = 0, nat = 16, ntyp = 3
/
ATOMIC_SPECIES
Cu 63.55 Cu.upf
Hg 200.59 Hg.upf
Mo 95.94 Mo.upf
ATOMIC_POSITIONS angstrom
Cu 0.000 0.000 0.000
Cu 0.000 2.012 4.897
Cu 2.012 0.000 14.691
Cu 2.012 2.012 9.794
Hg 0.985 1.006 2.449
Hg 1.006 2.997 7.346
Hg 1.006 3.040 17.140
Hg 1.027 1.006 12.243
Hg 2.997 3.018 12.243
Hg 3.018 0.985 17.140
Hg 3.018 1.027 7.346
Hg 3.040 3.018 2.449
Mo 0.000 0.000 9.794
Mo 0.000 2.012 14.691
Mo 2.012 0.000 4.897
Mo 2.012 2.012 0.000
CELL_PARAMETERS angstrom
4.025 0.000 0.000
0.000 4.025 0.000
0.000 0.000 19.588
```

=====

An optimized crystal structure of LaNi3Ge3. Source: Alexandria via LeMat-Bulk, functional GGA-PBE. Values from VASP.

Values from the calculation:
Magnetization: 0.00 μB/cell
Fermi-level density of states: 0.650 states/eV per atom
E_tot: -5.48 eV per atom
Space-group type: No. 148
V: 18.0 A^3/atom

The structure in Quantum ESPRESSO input format:
```
&SYSTEM
  ibrav = 0, nat = 14, ntyp = 3
/
ATOMIC_SPECIES
La 138.91 La.upf
Ni 58.69 Ni.upf
Ge 72.64 Ge.upf
ATOMIC_POSITIONS angstrom
La 0.000 0.000 3.841
La 0.000 0.000 18.194
Ni -0.671 -1.441 6.575
Ni -0.913 1.302 6.575
Ni -1.584 -0.139 15.460
Ni 1.584 0.139 6.575
Ni 0.913 -1.302 15.460
Ni 0.671 1.441 15.460
Ge -0.594 -1.586 8.973
Ge -1.670 -0.278 13.063
Ge -1.076 1.307 8.973
Ge 1.076 -1.307 13.063
Ge 1.670 0.278 8.973
Ge 0.594 1.586 13.063
CELL_PARAMETERS angstrom
3.150 1.818 7.345
-3.150 1.818 7.345
0.000 -3.637 7.345
```

=====

An optimized crystal structure of SmPuGa. Source: Alexandria via LeMat-Bulk, functional GGA-PBE. Values from VASP.

Values from the calculation:
Magnetization: 12.87 μB/cell
Fermi-level density of states: 2.262 states/eV per atom
E_tot: -7.57 eV per atom
Space-group type: No. 107
V: 26.1 A^3/atom

The structure in Quantum ESPRESSO input format:
```
&SYSTEM
  ibrav = 0, nat = 6, ntyp = 3
/
ATOMIC_SPECIES
Sm 150.36 Sm.upf
Pu 244.00 Pu.upf
Ga 69.72 Ga.upf
ATOMIC_POSITIONS angstrom
Sm 0.000 0.000 0.000
Sm 1.827 1.827 5.871
Pu 0.000 0.000 8.312
Pu 1.827 1.827 2.440
Ga 0.000 0.000 4.117
Ga 1.827 1.827 9.988
CELL_PARAMETERS angstrom
3.655 0.000 0.000
0.000 3.655 0.000
0.000 0.000 11.743
```

=====

An optimized crystal structure of ReIr2Os. Source: Alexandria via LeMat-Bulk, functional GGA-PBE. Values from VASP.

Values from the calculation:
Magnetization: 0.00 μB/cell
Fermi-level density of states: 1.273 states/eV per atom
E_tot: -10.33 eV per atom
Space-group type: No. 160
V: 14.6 A^3/atom

The structure in Quantum ESPRESSO input format:
```
&SYSTEM
  ibrav = 0, nat = 12, ntyp = 3
/
ATOMIC_SPECIES
Re 186.21 Re.upf
Ir 192.22 Ir.upf
Os 190.23 Os.upf
ATOMIC_POSITIONS angstrom
Re 0.000 0.000 0.000
Re 0.000 1.587 17.838
Re 1.375 0.794 8.919
Ir 0.000 0.000 13.405
Ir 0.000 0.000 20.041
Ir 0.000 1.587 4.485
Ir 0.000 1.587 11.122
Ir 1.375 0.794 2.203
Ir 1.375 0.794 22.324
Os 0.000 0.000 6.699
Os 0.000 1.587 24.537
Os 1.375 0.794 15.618
CELL_PARAMETERS angstrom
2.749 0.000 0.000
-1.375 2.381 0.000
0.000 0.000 26.757
```

=====

An optimized crystal structure of NiAsSe2Cl. Source: Alexandria via LeMat-Bulk, functional GGA-PBE. Values from VASP.

Values from the calculation:
Formation energy (no corrections): 1.35 eV/atom
Magnetization: 2.73 μB/cell
Fermi-level density of states: 1.490 states/eV per atom
E_tot: -2.50 eV per atom
Space-group type: No. 123
V: 23.7 A^3/atom

The structure in Quantum ESPRESSO input format:
```
&SYSTEM
  ibrav = 0, nat = 5, ntyp = 4
/
ATOMIC_SPECIES
Ni 58.69 Ni.upf
As 74.92 As.upf
Se 78.96 Se.upf
Cl 35.45 Cl.upf
ATOMIC_POSITIONS angstrom
Ni 0.000 0.000 0.000
As 2.476 2.476 0.000
Se 0.000 2.476 2.415
Se 2.476 0.000 2.415
Cl 2.476 2.476 2.415
CELL_PARAMETERS angstrom
4.953 0.000 0.000
0.000 4.953 0.000
0.000 0.000 4.831
```

=====

An optimized crystal structure of DySi2Tc. Source: Alexandria via LeMat-Bulk, functional GGA-PBE. Values from VASP.

Values from the calculation:
Formation energy (no corrections): -0.47 eV/atom
Magnetization: 0.01 μB/cell
Fermi-level density of states: 0.746 states/eV per atom
E_tot: -6.93 eV per atom
Space-group type: No. 123
V: 16.7 A^3/atom

The structure in Quantum ESPRESSO input format:
```
&SYSTEM
  ibrav = 0, nat = 4, ntyp = 3
/
ATOMIC_SPECIES
Dy 162.50 Dy.upf
Si 28.09 Si.upf
Tc 98.00 Tc.upf
ATOMIC_POSITIONS angstrom
Dy 0.000 0.000 0.000
Si 1.564 1.564 2.092
Si 1.564 1.564 4.725
Tc 0.000 0.000 3.409
CELL_PARAMETERS angstrom
3.128 0.000 0.000
0.000 3.128 0.000
0.000 0.000 6.817
```

=====

An optimized crystal structure of Pm3Nd5Tm. Source: Alexandria via LeMat-Bulk, functional GGA-PBE. Values from VASP.

Values from the calculation:
Magnetization: 0.00 μB/cell
Fermi-level density of states: 1.552 states/eV per atom
E_tot: -4.18 eV per atom
Space-group type: No. 12
V: 39.1 A^3/atom

The structure in Quantum ESPRESSO input format:
```
&SYSTEM
  ibrav = 0, nat = 18, ntyp = 3
/
ATOMIC_SPECIES
Pm 145.00 Pm.upf
Nd 144.24 Nd.upf
Tm 168.93 Tm.upf
ATOMIC_POSITIONS angstrom
Pm 0.000 0.000 0.000
Pm -2.528 0.000 5.302
Pm 0.641 0.000 3.687
Pm 0.128 0.000 8.950
Pm 6.366 0.000 1.653
Pm 5.853 0.000 6.916
Nd 1.694 3.058 3.728
Nd 5.775 2.826 0.000
Nd 3.040 0.000 1.006
Nd 4.799 3.058 6.876
Nd 2.289 0.000 6.560
Nd 4.205 0.000 4.043
Nd 1.694 -3.058 3.728
Nd 3.453 0.000 9.597
Nd 5.775 -2.826 0.000
Nd 4.799 -3.058 6.876
Tm -2.957 0.000 8.433
Tm 9.450 0.000 2.170
CELL_PARAMETERS angstrom
5.775 -5.752 0.000
5.775 5.752 0.000
-5.056 0.000 10.603
```

=====

An optimized crystal structure of PmEr2PaAs4. Source: Alexandria via LeMat-Bulk, functional GGA-PBE. Values from VASP.

Values from the calculation:
Magnetization: 0.36 μB/cell
Fermi-level density of states: 0.687 states/eV per atom
E_tot: -6.65 eV per atom
Space-group type: No. 10
V: 24.7 A^3/atom

The structure in Quantum ESPRESSO input format:
```
&SYSTEM
  ibrav = 0, nat = 8, ntyp = 4
/
ATOMIC_SPECIES
Pm 145.00 Pm.upf
Er 167.26 Er.upf
Pa 231.04 Pa.upf
As 74.92 As.upf
ATOMIC_POSITIONS angstrom
Pm 0.000 0.000 0.000
Er 2.360 0.000 3.369
Er 3.552 2.063 0.000
Pa -1.192 2.063 3.369
As 0.018 0.000 5.027
As 1.194 2.063 1.744
As 3.526 2.063 4.995
As 4.702 0.000 1.712
CELL_PARAMETERS angstrom
7.104 0.000 0.000
0.000 4.126 0.000
-2.384 0.000 6.739
```

=====

An optimized crystal structure of KHBr3. Source: Alexandria via LeMat-Bulk, functional GGA-PBE. Values from VASP.

Values from the calculation:
Magnetization: 0.00 μB/cell
Fermi-level density of states: 0.104 states/eV per atom
E_tot: -2.67 eV per atom
Space-group type: No. 14
V: 32.6 A^3/atom

The structure in Quantum ESPRESSO input format:
```
&SYSTEM
  ibrav = 0, nat = 20, ntyp = 3
/
ATOMIC_SPECIES
K 39.10 K.upf
H 1.01 H.upf
Br 79.90 Br.upf
ATOMIC_POSITIONS angstrom
K 0.862 1.328 3.656
K -0.866 1.984 9.164
K 6.336 4.641 1.852
K 4.608 5.296 7.360
H 2.182 3.728 1.340
H 0.453 6.208 6.848
H 5.017 0.416 4.168
H 3.288 2.896 9.677
Br -0.833 4.790 6.626
Br 0.896 5.146 1.118
Br 0.088 4.741 3.889
Br -1.640 5.196 9.397
Br 1.477 0.752 7.017
Br 3.205 2.560 1.509
Br 2.265 4.064 9.507
Br 3.994 5.872 3.999
Br 7.110 1.429 1.619
Br 5.382 1.883 7.127
Br 4.574 1.478 9.898
Br 6.303 1.834 4.390
CELL_PARAMETERS angstrom
8.927 0.000 0.000
0.000 6.624 0.000
-3.457 0.000 11.016
```